Below is an optimized crystal structure of VMoO4, with properties calculated at the PBE+U level.

The value obtained for the polymorph energy (0 for the lowest one) is 0.000 eV/atom. The value obtained for the uncorrected energy is -0.2772 hartree per atom.

Unit cell a=12.6061 b=3.8740 c=6.8332 alpha=90.00 beta=106.30 gamma=90.00
Closest atoms and distances in Å follow each position.
Space group C2/m (No. 12)
One atom of each set of equivalent atoms:
V 0.0985 0.0000 0.1862  5 O 1.93-2.10
Mo 0.1932 0.0000 0.7668  1 O 1.75
O 0.0606 0.0000 0.8751  2 V 1.93-2.04, 1 Mo 2.01
O 0.1285 0.0000 0.5042  1 Mo 1.75
O 0.1460 0.5000 0.2140  1 Mo 1.99, 2 V 2.02
O 0.2342 0.5000 0.8467  2 Mo 2.04, 1 V 2.18